An optimized crystal structure of CrTe2NF, computed with PBE+U.

a b c (Å): 5.2545 5.2545 3.4749
angles (deg): 90.00 90.00 90.00
Space group P4/mmm (No. 123)
Symmetry-distinct sites (fractional):
Cr 0.0000 0.0000 0.0000 (multiplicity 1)
Te 0.0000 0.5000 0.0000 (multiplicity 2)
N 0.0000 0.0000 0.5000 (multiplicity 1)
F 0.5000 0.5000 0.5000 (multiplicity 1)

Values from the calculation:
DOS at the Fermi energy	0.70	states/eV per atom
E	-21.963	eV for the cell shown
energy above the lowest structure with this stoichiometry	0	meV/atom